Entry 1:
Pu2GaGe2Rh5 after structural relaxation. Source: Alexandria via LeMat-Bulk, functional PBE-GGA.

The structure in CIF format:
```
data_Pu2GaGe2Rh5
_chemical_formula_sum 'Pu4 Ga2 Ge4 Rh10'
_cell_length_a 10.5810
_cell_length_b 10.5810
_cell_length_c 3.0130
_cell_angle_alpha 90.00
_cell_angle_beta 90.00
_cell_angle_gamma 90.00
_space_group_name_H-M_alt 'P 1'
_space_group_IT_number 1
_space_group_name_Hall 'P 1'
loop_
_atom_site_label
_atom_site_fract_x
_atom_site_fract_y
_atom_site_fract_z
Pu1 0.1749 0.3251 0.0000
Pu2 0.3251 0.8251 0.0000
Pu3 0.6749 0.1749 0.0000
Pu4 0.8251 0.6749 0.0000
Ga1 0.0000 0.0000 0.0000
Ga2 0.5000 0.5000 0.0000
Ge1 0.1332 0.6332 0.0000
Ge2 0.3668 0.1332 0.0000
Ge3 0.6332 0.8668 0.0000
Ge4 0.8668 0.3668 0.0000
Rh1 0.0000 0.5000 0.5000
Rh2 0.0485 0.8034 0.5000
Rh3 0.1966 0.0485 0.5000
Rh4 0.3034 0.5485 0.5000
Rh5 0.4515 0.3034 0.5000
Rh6 0.5000 0.0000 0.5000
Rh7 0.5485 0.6966 0.5000
Rh8 0.6966 0.4515 0.5000
Rh9 0.8034 0.9515 0.5000
Rh10 0.9515 0.1966 0.5000
```

calculated density	12.0	Mg/m³
V	337	Å³ per cell
final energy	-0.3055	Ha/atom

Entry 2:
CsPuOsO6 after structural relaxation. Source: Alexandria via LeMat-Bulk, functional PBE-GGA.

The structure in CIF format:
```
data_CsPuOsO6
_chemical_formula_sum 'Cs2 Pu2 Os2 O12'
_cell_length_a 7.5719
_cell_length_b 7.5719
_cell_length_c 7.5719
_cell_angle_alpha 121.80
_cell_angle_beta 118.08
_cell_angle_gamma 90.14
_space_group_name_H-M_alt 'P 1'
_space_group_IT_number 1
_space_group_name_Hall 'P 1'
loop_
_atom_site_label
_atom_site_fract_x
_atom_site_fract_y
_atom_site_fract_z
Cs1 0.3634 0.1134 0.2500
Cs2 0.6366 0.8866 0.7500
Pu1 0.0000 0.5000 0.5000
Pu2 0.5000 0.5000 0.0000
Os1 0.0000 0.0000 0.5000
Os2 0.0000 0.5000 0.0000
O1 0.0386 0.7886 0.2500
O2 0.0514 0.4162 0.2174
O3 0.0514 0.8340 0.6352
O4 0.3012 0.1660 0.7174
O5 0.3012 0.5838 0.1352
O6 0.3255 0.5755 0.7500
O7 0.6745 0.4245 0.2500
O8 0.6988 0.4162 0.8648
O9 0.6988 0.8340 0.2826
O10 0.9486 0.1660 0.3648
O11 0.9486 0.5838 0.7826
O12 0.9614 0.2114 0.7500
```

calculated density	7.2	Mg/m³
V	307	Å³ per cell
uncorrected formation energy	-17.091	eV per formula unit

Entry 3:
CaP2Os after structural relaxation. Source: Alexandria via LeMat-Bulk, functional PBE-GGA.

The structure in CIF format:
```
data_CaP2Os
_chemical_formula_sum 'Ca1 P2 Os1'
_cell_length_a 7.0768
_cell_length_b 7.0768
_cell_length_c 7.0768
_cell_angle_alpha 155.44
_cell_angle_beta 151.25
_cell_angle_gamma 38.17
_space_group_name_H-M_alt 'P 1'
_space_group_IT_number 1
_space_group_name_Hall 'P 1'
loop_
_atom_site_label
_atom_site_fract_x
_atom_site_fract_y
_atom_site_fract_z
Ca1 0.0000 0.0000 0.0000
P1 0.3331 0.8331 0.5000
P2 0.6234 0.6234 0.0000
Os1 0.7607 0.2607 0.5000
```

calculated density	6.9	Mg/m³
V	71	Å³ per cell
final energy	-0.2329	Ha/atom

Entry 4:
TaRu2Au after structural relaxation. Source: Alexandria via LeMat-Bulk, functional PBE-GGA.

The structure in CIF format:
```
data_TaRu2Au
_chemical_formula_sum 'Ta1 Ru2 Au1'
_cell_length_a 4.7476
_cell_length_b 4.7476
_cell_length_c 4.7476
_cell_angle_alpha 129.02
_cell_angle_beta 129.02
_cell_angle_gamma 74.98
_space_group_name_H-M_alt 'P 1'
_space_group_IT_number 1
_space_group_name_Hall 'P 1'
loop_
_atom_site_label
_atom_site_fract_x
_atom_site_fract_y
_atom_site_fract_z
Ta1 0.0000 0.0000 0.0000
Ru1 0.2500 0.7500 0.5000
Ru2 0.7500 0.2500 0.5000
Au1 0.5000 0.5000 0.0000
```

calculated density	15.3	Mg/m³
V	63	Å³ per cell
final energy	-0.3100	Ha/atom

Entry 5:
RbGaSO5 after structural relaxation. Source: Alexandria via LeMat-Bulk, functional PBE-GGA.

The structure in CIF format:
```
data_RbGaSO5
_chemical_formula_sum 'Rb2 Ga2 S2 O10'
_cell_length_a 6.1930
_cell_length_b 6.1930
_cell_length_c 6.7480
_cell_angle_alpha 101.89
_cell_angle_beta 101.89
_cell_angle_gamma 104.44
_space_group_name_H-M_alt 'P 1'
_space_group_IT_number 1
_space_group_name_Hall 'P 1'
loop_
_atom_site_label
_atom_site_fract_x
_atom_site_fract_y
_atom_site_fract_z
Rb1 0.1465 0.8535 0.7500
Rb2 0.8535 0.1465 0.2500
Ga1 0.5000 0.5000 0.0000
Ga2 0.5000 0.5000 0.5000
S1 0.2139 0.7861 0.2500
S2 0.7861 0.2139 0.7500
O1 0.0206 0.2754 0.8928
O2 0.2200 0.6099 0.3758
O3 0.2754 0.0206 0.3928
O4 0.3901 0.7800 0.1242
O5 0.4351 0.5649 0.7500
O6 0.5649 0.4351 0.2500
O7 0.6099 0.2200 0.8758
O8 0.7246 0.9794 0.6072
O9 0.7800 0.3901 0.6242
O10 0.9794 0.7246 0.1072
```

calculated density	3.8	Mg/m³
V	236	Å³ per cell
uncorrected formation energy	-12.801	eV per formula unit

Entry 6:
V9GaGe2 after structural relaxation. Source: Alexandria via LeMat-Bulk, functional PBE-GGA.

The structure in CIF format:
```
data_V9GaGe2
_chemical_formula_sum 'V18 Ga2 Ge4'
_cell_length_a 4.7689
_cell_length_b 4.7758
_cell_length_c 14.2739
_cell_angle_alpha 90.00
_cell_angle_beta 90.00
_cell_angle_gamma 90.00
_space_group_name_H-M_alt 'P 1'
_space_group_IT_number 1
_space_group_name_Hall 'P 1'
loop_
_atom_site_label
_atom_site_fract_x
_atom_site_fract_y
_atom_site_fract_z
V1 0.0000 0.0000 0.0830
V2 0.0000 0.0000 0.2504
V3 0.0000 0.0000 0.4155
V4 0.0000 0.0000 0.5845
V5 0.0000 0.0000 0.7496
V6 0.0000 0.0000 0.9170
V7 0.2490 0.5000 0.1667
V8 0.2490 0.5000 0.8333
V9 0.2515 0.5000 0.5000
V10 0.5000 0.2518 0.3344
V11 0.5000 0.2518 0.6656
V12 0.5000 0.2529 0.0000
V13 0.5000 0.7471 0.0000
V14 0.5000 0.7482 0.3344
V15 0.5000 0.7482 0.6656
V16 0.7485 0.5000 0.5000
V17 0.7510 0.5000 0.1667
V18 0.7510 0.5000 0.8333
Ga1 0.5000 0.0000 0.1671
Ga2 0.5000 0.0000 0.8329
Ge1 0.0000 0.5000 0.0000
Ge2 0.0000 0.5000 0.3336
Ge3 0.0000 0.5000 0.6664
Ge4 0.5000 0.0000 0.5000
```

calculated density	6.9	Mg/m³
V	325	Å³ per cell
final energy	-0.2991	Ha/atom

What is the calculated density in the sixth record?
6.9 Mg/m³

What is the calculated density in the second record?
7.2 Mg/m³